A plane-wave DFT calculation with PBE-GGA was carried out for a relaxed Nd4MgNi2 crystal.

Geometry as CIF:
```
data_Nd4MgNi2
_chemical_formula_sum 'Nd8 Mg2 Ni4'
_cell_length_a 6.924
_cell_length_b 7.123
_cell_length_c 8.717
_cell_angle_alpha 106.19
_cell_angle_beta 102.03
_cell_angle_gamma 107.17
_symmetry_space_group_name_H-M 'P 1'
_symmetry_Int_Tables_number 1
loop_
_symmetry_equiv_pos_as_xyz
'x,y,z'
loop_
_atom_site_label
_atom_site_type_symbol
_atom_site_fract_x
_atom_site_fract_y
_atom_site_fract_z
Nd1 Nd 0.000 0.000 0.000
Nd2 Nd 0.032 0.138 0.600
Nd3 Nd 0.124 0.525 0.979
Nd4 Nd 0.353 0.430 0.382
Nd5 Nd 0.534 0.053 0.783
Nd6 Nd 0.601 0.080 0.214
Nd7 Nd 0.723 0.629 0.179
Nd8 Nd 0.930 0.601 0.577
Mg1 Mg 0.256 0.864 0.372
Mg2 Mg 0.531 0.539 0.785
Ni1 Ni 0.355 0.276 0.995
Ni2 Ni 0.619 0.229 0.557
Ni3 Ni 0.641 0.836 0.486
Ni4 Ni 0.957 0.390 0.223
```

Output
**Calculated formation energy**: -129 meV/atom
**Density of states at the Fermi level**: 0.96 states/eV/atom

A plane-wave DFT calculation with PBE-GGA was carried out for a relaxed Nd3MgNi crystal.

Geometry as CIF:
```
data_Nd3MgNi
_chemical_formula_sum 'Nd3 Mg1 Ni1'
_cell_length_a 5.426
_cell_length_b 5.426
_cell_length_c 5.426
_cell_angle_alpha 90.00
_cell_angle_beta 90.00
_cell_angle_gamma 90.00
_symmetry_space_group_name_H-M 'P m -3 m'
_symmetry_Int_Tables_number 221
_symmetry_space_group_name_Hall '-P 4 2 3'
loop_
_atom_site_label
_atom_site_type_symbol
_atom_site_fract_x
_atom_site_fract_y
_atom_site_fract_z
Nd1 Nd 0.000 0.000 0.500
Mg1 Mg 0.500 0.500 0.500
Ni1 Ni 0.000 0.000 0.000
```

Output
**Calculated formation energy**: 10 meV/atom
**Density of states at the Fermi level**: 1.86 states/eV/atom
**Energy above the lowest structure with this stoichiometry**: 121 meV/atom

A plane-wave DFT calculation with PBE-GGA was carried out for a relaxed Nd2MgNi2 crystal.

Geometry as CIF:
```
data_Nd2MgNi2
_chemical_formula_sum 'Nd4 Mg2 Ni4'
_cell_length_a 7.494
_cell_length_b 7.494
_cell_length_c 3.896
_cell_angle_alpha 90.00
_cell_angle_beta 90.00
_cell_angle_gamma 90.00
_symmetry_space_group_name_H-M 'P 4/m b m'
_symmetry_Int_Tables_number 127
_symmetry_space_group_name_Hall '-P 4 2ab'
loop_
_atom_site_label
_atom_site_type_symbol
_atom_site_fract_x
_atom_site_fract_y
_atom_site_fract_z
Nd1 Nd 0.174 0.326 0.000
Mg1 Mg 0.000 0.000 0.500
Ni1 Ni 0.119 0.619 0.500
```

Output
**Calculated formation energy**: -302 meV/atom
**Density of states at the Fermi level**: 0.67 states/eV/atom

A plane-wave DFT calculation with PBE-GGA was carried out for a relaxed NdMg4Ni crystal.

Geometry as CIF:
```
data_NdMg4Ni
_chemical_formula_sum 'Nd2 Mg8 Ni2'
_cell_length_a 8.649
_cell_length_b 4.189
_cell_length_c 7.389
_cell_angle_alpha 90.00
_cell_angle_beta 90.00
_cell_angle_gamma 90.00
_symmetry_space_group_name_H-M 'P m m a'
_symmetry_Int_Tables_number 51
loop_
_symmetry_equiv_pos_as_xyz
'x,y,z'
'-x,-y,-z'
'-x+1/2,-y,z'
'x+1/2,y,-z'
'x+1/2,-y,-z'
'-x+1/2,y,z'
'-x,y,-z'
'x,-y,z'
loop_
_atom_site_label
_atom_site_type_symbol
_atom_site_fract_x
_atom_site_fract_y
_atom_site_fract_z
Nd1 Nd 0.250 0.000 0.092
Mg1 Mg 0.000 0.000 0.500
Mg2 Mg 0.064 0.500 0.801
Mg3 Mg 0.250 0.500 0.454
Ni1 Ni 0.250 0.000 0.706
```

Output
**Calculated formation energy**: -153 meV/atom
**Density of states at the Fermi level**: 0.79 states/eV/atom

A plane-wave DFT calculation with PBE-GGA was carried out for a relaxed Nd7Mg2Ni2 crystal.

Geometry as CIF:
```
data_Nd7Mg2Ni2
_chemical_formula_sum 'Nd14 Mg4 Ni4'
_cell_length_a 7.933
_cell_length_b 11.552
_cell_length_c 7.426
_cell_angle_alpha 90.00
_cell_angle_beta 90.00
_cell_angle_gamma 90.00
_symmetry_space_group_name_H-M 'C m m m'
_symmetry_Int_Tables_number 65
_symmetry_space_group_name_Hall '-C 2 2'
loop_
_atom_site_label
_atom_site_type_symbol
_atom_site_fract_x
_atom_site_fract_y
_atom_site_fract_z
Nd1 Nd 0.000 0.000 0.000
Nd2 Nd 0.000 0.500 0.229
Nd3 Nd 0.250 0.250 0.246
Mg1 Mg 0.175 0.000 0.500
Ni1 Ni 0.000 0.297 0.000
```

Output
**Calculated formation energy**: -14 meV/atom
**Density of states at the Fermi level**: 1.08 states/eV/atom

A plane-wave DFT calculation with PBE-GGA was carried out for a relaxed Nd3Mg2Ni3 crystal.

Geometry as CIF:
```
data_Nd3Mg2Ni3
_chemical_formula_sum 'Nd6 Mg4 Ni6'
_cell_length_a 8.3054
_cell_length_b 8.3054
_cell_length_c 5.8035
_cell_angle_alpha 90.00
_cell_angle_beta 90.00
_cell_angle_gamma 120.00
_symmetry_space_group_name_H-M 'P 63/m c m'
_symmetry_Int_Tables_number 193
_symmetry_space_group_name_Hall '-P 6c 2'
loop_
_atom_site_label
_atom_site_type_symbol
_atom_site_fract_x
_atom_site_fract_y
_atom_site_fract_z
Nd1 Nd 0.0000 0.2736 0.2500
Mg1 Mg 0.3333 0.6667 0.0000
Ni1 Ni 0.0000 0.3959 0.7500
```

Output
**Calculated formation energy**: -242 meV/atom
**Density of states at the Fermi level**: 0.73 states/eV/atom

A plane-wave DFT calculation with PBE-GGA was carried out for a relaxed Nd3Mg5Ni2 crystal.

Geometry as CIF:
```
data_Nd3Mg5Ni2
_chemical_formula_sum 'Nd12 Mg20 Ni8'
_cell_length_a 11.748
_cell_length_b 12.957
_cell_length_c 6.387
_cell_angle_alpha 90.00
_cell_angle_beta 90.00
_cell_angle_gamma 90.00
_symmetry_space_group_name_H-M 'I b a m'
_symmetry_Int_Tables_number 72
_symmetry_space_group_name_Hall '-I 2 2c'
loop_
_atom_site_label
_atom_site_type_symbol
_atom_site_fract_x
_atom_site_fract_y
_atom_site_fract_z
Nd1 Nd 0.000 0.000 0.250
Nd2 Nd 0.243 0.168 0.000
Mg1 Mg 0.000 0.269 0.250
Mg2 Mg 0.000 0.500 0.250
Mg3 Mg 0.189 0.421 0.000
Ni1 Ni 0.119 0.154 0.500
```

Output
**Calculated formation energy**: -76 meV/atom
**Density of states at the Fermi level**: 0.84 states/eV/atom

A plane-wave DFT calculation with PBE-GGA was carried out for a relaxed NdMgNi10 crystal.

Geometry as CIF:
```
data_NdMgNi10
_chemical_formula_sum 'Nd1 Mg1 Ni10'
_cell_length_a 3.988
_cell_length_b 4.829
_cell_length_c 8.395
_cell_angle_alpha 90.00
_cell_angle_beta 90.00
_cell_angle_gamma 90.00
_symmetry_space_group_name_H-M 'P m m m'
_symmetry_Int_Tables_number 47
loop_
_symmetry_equiv_pos_as_xyz
'x,y,z'
'-x,-y,-z'
'-x,-y,z'
'x,y,-z'
'x,-y,-z'
'-x,y,z'
'-x,y,-z'
'x,-y,z'
loop_
_atom_site_label
_atom_site_type_symbol
_atom_site_fract_x
_atom_site_fract_y
_atom_site_fract_z
Nd1 Nd 0.000 0.000 0.000
Mg1 Mg 0.000 0.500 0.500
Ni1 Ni 0.000 0.000 0.343
Ni2 Ni 0.000 0.500 0.182
Ni3 Ni 0.500 0.000 0.500
Ni4 Ni 0.500 0.252 0.256
Ni5 Ni 0.500 0.500 0.000
```

Output
**Calculated formation energy**: -142 meV/atom
**Density of states at the Fermi level**: 1.27 states/eV/atom

A plane-wave DFT calculation with PBE-GGA was carried out for a relaxed NdMg3Ni8 crystal.

Geometry as CIF:
```
data_NdMg3Ni8
_chemical_formula_sum 'Nd3 Mg9 Ni24'
_cell_length_a 4.9132
_cell_length_b 4.9132
_cell_length_c 24.2190
_cell_angle_alpha 90.00
_cell_angle_beta 90.00
_cell_angle_gamma 120.00
_symmetry_space_group_name_H-M 'R 3 m'
_symmetry_Int_Tables_number 160
_symmetry_space_group_name_Hall 'R 3 -2"'
loop_
_atom_site_label
_atom_site_type_symbol
_atom_site_fract_x
_atom_site_fract_y
_atom_site_fract_z
Nd1 Nd 0.0000 0.0000 0.0000
Mg1 Mg 0.0000 0.0000 0.1287
Mg2 Mg 0.0000 0.0000 0.4967
Mg3 Mg 0.0000 0.0000 0.6150
Ni1 Ni 0.0000 0.0000 0.3108
Ni2 Ni 0.0000 0.0000 0.8119
Ni3 Ni 0.0014 0.5007 0.0645
Ni4 Ni 0.1687 0.3373 0.8926
```

Output
**Calculated formation energy**: -258 meV/atom
**Density of states at the Fermi level**: 1.32 states/eV/atom

no.,M_tot (Bohr magnetons per cell)
1,0.00
2,0.00
3,0.00
4,0.00
5,0.00
6,0.00
7,0.00
8,3.45
9,0.01